--- 1 ---
The following is a GGA-PBE calculation of a relaxed structure of LiFeCo2, from the Alexandria database.

The structure belongs to space group Pmmm (No. 47); the cell edges are 2.4142, 3.7529 and 4.9916 Å and the angles 90.00°, 90.00° and 90.00°. The distinct sites, in fractional coordinates, are Li at (0.0000, 0.0000, 0.0000), Fe at (0.0000, 0.0000, 0.5000) and Co at (0.5000, 0.5000, 0.2483).

=====

--- 2 ---
The following is a GGA-PBE calculation of a relaxed structure of LiFeCo2, from the Alexandria database.

The structure belongs to space group P4/mmm (No. 123); the cell edges are 2.4618, 2.4618 and 7.7648 Å and the angles 90.00°, 90.00° and 90.00°. The distinct sites, in fractional coordinates, are Li at (0.0000, 0.0000, 0.0000), Fe at (0.0000, 0.0000, 0.5000) and Co at (0.5000, 0.5000, 0.2643).

=====

Which of them is the least stable? Correct choice: 2.

=====

--- 1 ---
The following is a GGA-PBE calculation of a relaxed structure of Li2FeCo, from the Alexandria database.

The structure belongs to space group Fm-3m (No. 225); the cell edges are 5.7249, 5.7249 and 5.7249 Å and the angles 90.00°, 90.00° and 90.00°. The distinct sites, in fractional coordinates, are Li at (0.2500, 0.2500, 0.2500), Fe at (0.0000, 0.0000, 0.0000) and Co at (0.0000, 0.0000, 0.5000).

=====

--- 2 ---
The following is a GGA-PBE calculation of a relaxed structure of Li2FeCo, from the Alexandria database.

The structure belongs to space group P4/mmm (No. 123); the cell edges are 4.4207, 4.4207 and 2.4720 Å and the angles 90.00°, 90.00° and 90.00°. The distinct sites, in fractional coordinates, are Li at (0.0000, 0.5000, 0.0000), Fe at (0.0000, 0.0000, 0.5000) and Co at (0.5000, 0.5000, 0.5000).

=====

--- 3 ---
The following is a GGA-PBE calculation of a relaxed structure of Li2FeCo, from the Alexandria database.

The structure belongs to space group Immm (No. 71); the cell edges are 2.6501, 4.0841 and 8.9002 Å and the angles 90.00°, 90.00° and 90.00°. The distinct sites, in fractional coordinates, are Li at (0.0000, 0.0000, 0.2441), Fe at (0.0000, 0.5000, 0.0000) and Co at (0.0000, 0.5000, 0.5000).

=====

--- 4 ---
The following is a GGA-PBE calculation of a relaxed structure of Li2FeCo, from the Alexandria database.

The structure belongs to space group F-43m (No. 216); the cell edges are 5.7609, 5.7609 and 5.7609 Å and the angles 90.00°, 90.00° and 90.00°. The distinct sites, in fractional coordinates, are Li at (0.0000, 0.0000, 0.0000), Li at (0.2500, 0.2500, 0.2500), Fe at (0.2500, 0.2500, 0.7500) and Co at (0.0000, 0.0000, 0.5000).

=====

Which of them is the least stable? Correct choice: 1.